Record 1
A relaxed structure of KMgAs2, computed with PBE-GGA.

a b c (Å): 4.101 2.901 8.881
angles (deg): 90.00 90.00 90.00
Positions (direct):
As: 0.000 0.125 0.820
As: 0.500 0.125 0.231
K: 0.000 0.626 0.479
Mg: 0.500 0.625 0.969

The size of the total moment comes out at 0.00 μB/f.u. Its space group is No. 25. The formation energy is -0.1957 eV/atom. As for the density of states at the Fermi level: 1.7 states/eV/f.u.

Record 2
A relaxed structure of Ho6Er3Tm2Pu, computed with PBE-GGA.

a b c (Å): 6.066 6.066 11.577
angles (deg): 95.01 95.01 119.99
Each line ends with the local moment (μB).
Positions (direct):
Ho: 0.917 0.587 0.752  0.06
Ho: 0.753 0.753 0.248  0.05
Ho: 0.083 0.413 0.248  0.06
Ho: 0.587 0.917 0.752  0.06
Ho: 0.247 0.247 0.752  0.05
Ho: 0.413 0.083 0.248  0.06
Er: 0.167 0.833 0.500  -0.05
Er: 0.833 0.167 0.500  -0.05
Er: 0.500 0.500 0.500  -0.05
Tm: 0.333 0.667 0.000  0.16
Tm: 0.667 0.333 0.000  0.16
Pu: 0.000 0.000 0.000  5.59

The size of the total moment comes out at 6.60 μB/f.u. Its space group is No. 12. The formation energy is 0.0428 eV/atom. As for the density of states at the Fermi level: 23.7 states/eV/f.u.

Record 3
A relaxed structure of ScPaTcRu, computed with PBE-GGA.

a b c (Å): 4.724 4.724 4.724
angles (deg): 60.00 60.00 60.00
Positions (direct):
Sc: 0.000 0.000 0.000
Ru: 0.750 0.750 0.750
Pa: 0.500 0.500 0.500
Tc: 0.250 0.250 0.250

The size of the total moment comes out at 0.00 μB/f.u. Its space group is No. 216. The formation energy is -0.4499 eV/atom. As for the density of states at the Fermi level: 3.0 states/eV/f.u.

Record 4
A relaxed structure of HoPuIn6, computed with PBE-GGA.

a b c (Å): 4.638 4.638 9.291
angles (deg): 90.00 90.00 90.00
Each line ends with the local moment (μB).
Positions (direct):
Ho: 0.000 0.000 0.500  0.00
Pu: 0.000 0.000 0.000  5.36
In: 0.500 0.500 0.000  0.02
In: 0.500 0.500 0.500  -0.01
In: 0.500 0.000 0.250  0.00
In: 0.500 0.000 0.750  0.00
In: 0.000 0.500 0.250  0.00
In: 0.000 0.500 0.750  0.00

The size of the total moment comes out at 5.71 μB/f.u. Its space group is No. 123. The formation energy is -0.3166 eV/atom. As for the density of states at the Fermi level: 13.4 states/eV/f.u.

Record 5
A relaxed structure of LiNbPd, computed with PBE-GGA.

a b c (Å): 4.664 4.908 5.070
angles (deg): 77.38 62.62 61.63
Positions (direct):
Li: 0.750 0.500 0.500
Li: 0.250 0.500 0.500
Nb: 0.865 0.270 0.000
Nb: 0.135 0.730 0.000
Pd: 0.657 0.000 0.687
Pd: 0.343 0.000 0.313

The size of the total moment comes out at 0.00 μB/f.u. Its space group is No. 69. The formation energy is 0.1611 eV/atom. As for the density of states at the Fermi level: 2.0 states/eV/f.u.

Record 6
A relaxed structure of Nd8HoSb6, computed with PBE-GGA.

a b c (Å): 8.189 8.189 9.839
angles (deg): 65.41 65.41 60.00
Positions (direct):
Nd: 0.539 0.217 0.364
Nd: 0.783 0.120 0.636
Nd: 0.120 0.461 0.636
Nd: 0.667 0.667 0.000
Nd: 0.333 0.333 0.000
Nd: 0.880 0.539 0.364
Nd: 0.217 0.880 0.364
Nd: 0.461 0.783 0.636
Ho: 0.000 0.000 0.000
Sb: 0.392 0.067 0.802
Sb: 0.933 0.261 0.198
Sb: 0.261 0.608 0.198
Sb: 0.739 0.392 0.802
Sb: 0.067 0.739 0.802
Sb: 0.608 0.933 0.198

Its uncorrected formation energy is -0.81 eV per atom. The size of the total moment comes out at 0.00 μB/f.u. Its space group is No. 148. As for the density of states at the Fermi level: 16.1 states/eV/f.u.

Record 7
A relaxed structure of KMn2Ag, computed with PBE-GGA.

a b c (Å): 4.926 4.238 4.238
angles (deg): 90.00 90.00 90.00
Each line ends with the local moment (μB).
Positions (direct):
Ag: 0.500 0.500 0.000  -0.01
K: 0.500 0.000 0.500  0.00
Mn: 0.000 0.000 0.000  3.93
Mn: 0.000 0.500 0.500  3.93

The size of the total moment comes out at 8.29 μB/f.u. Its space group is No. 123. The formation energy is 0.9628 eV/atom. For the energy above the most stable polymorph in this dataset, the calculation gives 0.359 eV/atom. As for the density of states at the Fermi level: 4.1 states/eV/f.u.

Record 8
A relaxed structure of AcYTm2S4, computed with PBE-GGA.

a b c (Å): 3.908 7.088 6.822
angles (deg): 71.50 90.00 90.00
Positions (direct):
Ac: 0.500 0.500 0.000
Y: 0.000 0.500 0.500
Tm: 0.000 0.000 0.000
Tm: 0.500 0.000 0.500
S: 0.000 0.778 0.730
S: 0.000 0.222 0.270
S: 0.500 0.769 0.254
S: 0.500 0.231 0.746

Its uncorrected formation energy is -1.93 eV per atom. The size of the total moment comes out at 0.00 μB/f.u. Its space group is No. 10. As for the density of states at the Fermi level: 4.0 states/eV/f.u.

Record 9
A relaxed structure of Ga3SN, computed with PBE-GGA.

a b c (Å): 4.793 4.793 4.793
angles (deg): 90.00 90.00 90.00
Positions (direct):
S: 0.000 0.000 0.000
Ga: 0.000 0.500 0.000
Ga: 0.000 0.000 0.500
Ga: 0.500 0.000 0.000
N: 0.500 0.500 0.500

Its uncorrected formation energy is 1.34 eV per atom. The size of the total moment comes out at 0.00 μB/f.u. Its space group is No. 221. For the energy above the most stable polymorph in this dataset, the calculation gives 0.982 eV/atom. As for the density of states at the Fermi level: 4.1 states/eV/f.u.

Record 10
A relaxed structure of CdTcBr2, computed with PBE-GGA.

a b c (Å): 10.651 10.651 10.651
angles (deg): 19.48 19.48 19.48
Each line ends with the local moment (μB).
Positions (direct):
Tc: 0.500 0.500 0.500  0.92
Br: 0.882 0.882 0.882  -0.01
Br: 0.118 0.118 0.118  -0.01
Cd: 0.000 0.000 0.000  0.01

Its uncorrected formation energy is 0.17 eV per atom. The size of the total moment comes out at 1.00 μB/f.u. Its space group is No. 166. For the energy above the most stable polymorph in this dataset, the calculation gives 0.143 eV/atom. As for the density of states at the Fermi level: 1.8 states/eV/f.u.

Record 11
A relaxed structure of FeCu2Hg, computed with PBE-GGA.

a b c (Å): 8.776 8.776 8.776
angles (deg): 18.54 18.54 18.54
Each line ends with the local moment (μB).
Positions (direct):
Cu: 0.992 0.992 0.992  0.01
Cu: 0.250 0.250 0.250  0.08
Fe: 0.508 0.508 0.508  2.85
Hg: 0.749 0.749 0.749  -0.01

The size of the total moment comes out at 2.89 μB/f.u. Its space group is No. 160. The formation energy is 0.3578 eV/atom. For the energy above the most stable polymorph in this dataset, the calculation gives 0.096 eV/atom. As for the density of states at the Fermi level: 2.8 states/eV/f.u.

Record 12
A relaxed structure of LiIn2Ge, computed with PBE-GGA.

a b c (Å): 4.475 4.475 6.262
angles (deg): 69.07 69.07 60.00
Positions (direct):
Li: 0.501 0.501 0.497
In: 0.073 0.073 0.781
In: 0.259 0.259 0.224
Ge: 0.667 0.667 0.998

The size of the total moment comes out at 0.00 μB/f.u. Its space group is No. 160. The formation energy is -0.0119 eV/atom. As for the density of states at the Fermi level: 0.9 states/eV/f.u.

Record 13
A relaxed structure of Cs6Br5F2, computed with PBE-GGA.

a b c (Å): 5.010 14.355 15.654
angles (deg): 90.00 90.00 90.00
Each line ends with the local moment (μB).
Positions (direct):
Cs: 0.000 0.187 0.424  0.00
Cs: 0.000 0.813 0.576  0.00
Cs: 0.000 0.687 0.076  0.00
Cs: 0.000 0.313 0.924  0.00
Cs: 0.500 0.300 0.198  0.00
Cs: 0.500 0.700 0.802  0.00
Cs: 0.500 0.800 0.302  0.00
Cs: 0.500 0.200 0.698  0.00
Cs: 0.000 0.491 0.367  0.00
Cs: 0.000 0.509 0.633  0.00
Cs: 0.000 0.991 0.133  0.00
Cs: 0.000 0.009 0.867  0.00
Br: 0.500 0.352 0.511  0.00
Br: 0.500 0.648 0.489  0.00
Br: 0.500 0.852 0.989  0.00
Br: 0.500 0.148 0.011  0.00
Br: 0.500 0.557 0.199  0.18
Br: 0.500 0.443 0.801  0.18
Br: 0.500 0.057 0.301  0.18
Br: 0.500 0.943 0.699  0.18
Br: 0.500 0.500 0.000  0.38
Br: 0.500 0.000 0.500  0.38
F: 0.000 0.314 0.285  0.00
F: 0.000 0.686 0.715  0.00
F: 0.000 0.814 0.215  0.00
F: 0.000 0.186 0.785  0.00

Its uncorrected formation energy is -1.88 eV per atom. The size of the total moment comes out at 1.00 μB/f.u. Its space group is No. 55.

Record 14
A relaxed structure of BaS4Cl, computed with PBE-GGA.

a b c (Å): 11.114 11.114 6.678
angles (deg): 90.00 90.00 153.89
Positions (direct):
Ba: 0.913 0.087 0.250
Ba: 0.087 0.913 0.750
S: 0.250 0.356 0.750
S: 0.135 0.487 0.750
S: 0.356 0.250 0.250
S: 0.487 0.135 0.250
S: 0.750 0.644 0.250
S: 0.644 0.750 0.750
S: 0.865 0.513 0.250
S: 0.513 0.865 0.750
Cl: 0.344 0.656 0.250
Cl: 0.656 0.344 0.750

Its uncorrected formation energy is -0.76 eV per atom. The size of the total moment comes out at 0.00 μB/f.u. Its space group is No. 63. As for the density of states at the Fermi level: 1.5 states/eV/f.u.

Record 15
A relaxed structure of Sr2PbNO, computed with PBE-GGA.

a b c (Å): 6.110 4.296 6.110
angles (deg): 90.00 90.00 90.00
Positions (direct):
Pb: 0.000 0.000 0.000
Sr: 0.000 0.000 0.500
Sr: 0.500 0.000 0.000
O: 0.500 0.500 0.500
N: 0.000 0.500 0.000

Its uncorrected formation energy is 0.48 eV per atom. The size of the total moment comes out at 0.00 μB/f.u. Its space group is No. 123. As for the density of states at the Fermi level: 2.0 states/eV/f.u.

Record 16
A relaxed structure of Cs3AcCl6, computed with PBE-GGA.

a b c (Å): 8.358 8.765 11.851
angles (deg): 90.00 88.74 90.00
Positions (direct):
Cs: 0.526 0.936 0.757
Cs: 0.500 0.500 0.000
Cs: 0.474 0.064 0.243
Cs: 0.026 0.564 0.257
Cs: 0.000 0.000 0.500
Cs: 0.974 0.436 0.743
Ac: 0.500 0.500 0.500
Ac: 0.000 0.000 0.000
Cl: 0.725 0.181 0.944
Cl: 0.672 0.233 0.578
Cl: 0.627 0.439 0.275
Cl: 0.373 0.561 0.725
Cl: 0.328 0.767 0.422
Cl: 0.275 0.819 0.056
Cl: 0.225 0.319 0.444
Cl: 0.172 0.267 0.078
Cl: 0.127 0.061 0.775
Cl: 0.873 0.939 0.225
Cl: 0.828 0.733 0.922
Cl: 0.775 0.681 0.556

Its uncorrected formation energy is -2.20 eV per atom. The size of the total moment comes out at 0.00 μB/f.u. Its space group is No. 14. For the energy above the most stable polymorph in this dataset, the calculation gives 0.000 eV/atom. As for the density of states at the Fermi level: 0.0 states/eV/f.u.

Record 17
A relaxed structure of PmTl2SbO8, computed with PBE-GGA.

a b c (Å): 4.771 5.018 7.158
angles (deg): 90.00 90.00 86.48
Each line ends with the local moment (μB).
Positions (direct):
Pm: 0.000 0.000 0.500  -0.01
Tl: 0.500 0.500 0.759  0.00
Tl: 0.500 0.500 0.241  0.00
Sb: 0.000 0.000 0.000  -0.02
O: 0.122 0.763 0.216  0.05
O: 0.640 0.802 0.000  0.40
O: 0.878 0.237 0.216  0.05
O: 0.878 0.237 0.784  0.05
O: 0.360 0.198 0.000  0.40
O: 0.122 0.763 0.784  0.05
O: 0.575 0.764 0.500  0.37
O: 0.425 0.236 0.500  0.37

Its uncorrected formation energy is -1.20 eV per atom. The size of the total moment comes out at 2.04 μB/f.u. Its space group is No. 10. As for the density of states at the Fermi level: 2.7 states/eV/f.u.

Record 18
A relaxed structure of VFeSn2, computed with PBE-GGA.

a b c (Å): 3.080 3.080 9.861
angles (deg): 81.02 81.02 60.00
Each line ends with the local moment (μB).
Positions (direct):
V: 0.500 0.500 0.500  -0.18
Sn: 0.091 0.091 0.728  0.01
Sn: 0.909 0.909 0.272  0.01
Fe: 0.000 0.000 0.000  2.99

The size of the total moment comes out at 2.82 μB/f.u. Its space group is No. 166. The formation energy is 0.5479 eV/atom. For the energy above the most stable polymorph in this dataset, the calculation gives 0.277 eV/atom. As for the density of states at the Fermi level: 5.0 states/eV/f.u.

Record 19
A relaxed structure of YAgSb2Te, computed with PBE-GGA.

a b c (Å): 5.309 5.309 5.476
angles (deg): 90.00 90.00 90.00
Positions (direct):
Y: 0.500 0.500 0.500
Sb: 0.000 0.500 0.000
Sb: 0.500 0.000 0.000
Te: 0.000 0.000 0.500
Ag: 0.000 0.000 0.000

Its uncorrected formation energy is 0.17 eV per atom. The size of the total moment comes out at 0.00 μB/f.u. Its space group is No. 123. For the energy above the most stable polymorph in this dataset, the calculation gives 0.000 eV/atom. As for the density of states at the Fermi level: 4.3 states/eV/f.u.

Record 20
A relaxed structure of MnSi4Se, computed with PBE-GGA.

a b c (Å): 5.145 5.145 5.145
angles (deg): 60.00 60.00 60.00
Each line ends with the local moment (μB).
Positions (direct):
Mn: 0.750 0.750 0.750  3.89
Si: 0.875 0.375 0.375  0.00
Si: 0.375 0.375 0.875  0.00
Si: 0.375 0.875 0.375  0.00
Si: 0.375 0.375 0.375  0.00
Se: 0.000 0.000 0.000  0.01

Its uncorrected formation energy is 0.51 eV per atom. The size of the total moment comes out at 4.08 μB/f.u. Its space group is No. 216. As for the density of states at the Fermi level: 4.4 states/eV/f.u.

Total energy (eV per atom)
-3.19, -5.33, -9.32, -4.73, -5.56, -5.31, -4.61, -6.43, -2.97, -3.49, -3.88, -3.01, -3.20, -4.14, -3.59, -3.98, -5.63, -5.85, -3.97, -5.22